No. 1
# CsAgCl

A geometry-optimized CsAgCl structure (PBE, the Alexandria database).

E_tot = -2.511 eV per atom
E_form (uncorrected) = -660 meV/atom
calculated volume = 42.999 A^3/atom

Geometry as CIF:
```
data_CsAgCl
_chemical_formula_sum 'Cs1 Ag1 Cl1'
_space_group_name_H-M_alt 'P 4/m m m'
_space_group_IT_number 123
_space_group_name_Hall '-P 4 2'
_cell_length_a 4.887
_cell_length_b 4.887
_cell_length_c 5.401
_cell_angle_alpha 90.00
_cell_angle_beta 90.00
_cell_angle_gamma 90.00
loop_
_atom_site_label
_atom_site_type_symbol
_atom_site_fract_x
_atom_site_fract_y
_atom_site_fract_z
Cs1 Cs 0.000 0.000 0.000
Ag1 Ag 0.500 0.500 0.500
Cl1 Cl 0.500 0.500 0.000
```

=====

No. 2
# K2HoSbTe4

A geometry-optimized K2HoSbTe4 structure (PBE, the Alexandria database).

E_tot = -3.890 eV per atom
E_form (uncorrected) = -957 meV/atom
calculated volume = 36.267 A^3/atom

Geometry as CIF:
```
data_K2HoSbTe4
_chemical_formula_sum 'K2 Ho1 Sb1 Te4'
_space_group_name_H-M_alt 'P 1 2/m 1'
_space_group_IT_number 10
_cell_length_a 7.843
_cell_length_b 4.497
_cell_length_c 8.619
_cell_angle_alpha 90.00
_cell_angle_beta 107.38
_cell_angle_gamma 90.00
loop_
_space_group_symop_operation_xyz
'x,y,z'
'-x,-y,-z'
'-x,y,-z'
'x,-y,z'
loop_
_atom_site_label
_atom_site_type_symbol
_atom_site_fract_x
_atom_site_fract_y
_atom_site_fract_z
K1 K 0.000 0.000 0.000
K2 K 0.500 0.500 0.000
Ho1 Ho 0.000 0.500 0.500
Sb1 Sb 0.500 0.000 0.500
Te1 Te 0.235 0.000 0.706
Te2 Te 0.263 0.500 0.294
```

=====

No. 3
# LiAcPm

A geometry-optimized LiAcPm structure (PBE, the Alexandria database).

ΔH_f (0 K) = 23 kJ/mol of formula units
E_tot = -3.512 eV per atom
calculated volume = 33.158 A^3/atom

Geometry as CIF:
```
data_LiAcPm
_chemical_formula_sum 'Li2 Ac2 Pm2'
_space_group_name_H-M_alt 'I 4 m m'
_space_group_IT_number 107
_space_group_name_Hall 'I 4 -2'
_cell_length_a 3.937
_cell_length_b 3.937
_cell_length_c 12.836
_cell_angle_alpha 90.00
_cell_angle_beta 90.00
_cell_angle_gamma 90.00
loop_
_atom_site_label
_atom_site_type_symbol
_atom_site_fract_x
_atom_site_fract_y
_atom_site_fract_z
Li1 Li 0.000 0.000 0.000
Ac1 Ac 0.000 0.000 0.663
Pm1 Pm 0.000 0.000 0.362
```

=====

No. 4
# Rh3AuSe

A geometry-optimized Rh3AuSe structure (PBE, the Alexandria database).

E_tot = -5.229 eV per atom
E_form (uncorrected) = 534 meV/atom
calculated volume = 18.777 A^3/atom

Geometry as CIF:
```
data_Rh3AuSe
_chemical_formula_sum 'Rh3 Au1 Se1'
_space_group_name_H-M_alt 'P m -3 m'
_space_group_IT_number 221
_space_group_name_Hall '-P 4 2 3'
_cell_length_a 4.545
_cell_length_b 4.545
_cell_length_c 4.545
_cell_angle_alpha 90.00
_cell_angle_beta 90.00
_cell_angle_gamma 90.00
loop_
_atom_site_label
_atom_site_type_symbol
_atom_site_fract_x
_atom_site_fract_y
_atom_site_fract_z
Rh1 Rh 0.000 0.000 0.500
Au1 Au 0.500 0.500 0.500
Se1 Se 0.000 0.000 0.000
```